PBE SnGe2S, optimized geometry; M_tot = 0.00 μB/cell; N(E_F) = 2.9 states/eV/cell; energy above the lowest structure with this stoichiometry = 0.115 eV/atom; formation energy without anion corrections = 327 meV per atom; SG = Fm-3m (225); volume = 82.4 Å³ per cell
1.0
0.651 2.439 4.181
-3.690 2.540 1.946
-2.147 -1.563 4.099
S Ge Sn
1 2 1
Direct
0.000 0.000 0.000 S
0.250 0.250 0.250 Ge
0.750 0.750 0.750 Ge
0.500 0.500 0.500 Sn



PBE BeNi4B, optimized geometry; M_tot = 0.00 μB/cell; N(E_F) = 9.4 states/eV/cell; energy above the lowest structure with this stoichiometry = 0.138 eV/atom; SG = C2/m (12); volume = 117.6 Å³ per cell; formation energy = -0.9 eV per formula unit
1.0
6.278 0.000 1.253
0.000 3.684 0.000
1.134 0.000 5.314
Be Ni B
2 8 2
Direct
0.500 0.000 0.500 Be
0.000 0.500 0.500 Be
0.796 0.501 0.111 Ni
0.704 0.001 0.889 Ni
0.373 0.500 0.381 Ni
0.127 0.000 0.619 Ni
0.204 0.499 0.889 Ni
0.296 0.999 0.111 Ni
0.627 0.500 0.619 Ni
0.873 0.000 0.381 Ni
0.000 0.000 0.000 B
0.500 0.500 0.000 B



PBE LaCuBi3, optimized geometry; M_tot = 0.00 μB/cell; N(E_F) = 6.0 states/eV/cell; energy above the lowest structure with this stoichiometry = 1.031 eV/atom; SG = Pm-3m (221); volume = 231.6 Å³ per cell; formation energy = 4.4 eV per formula unit
1.0
6.141 0.000 0.000
0.000 6.141 0.000
0.000 0.000 6.141
Bi Cu La
3 1 1
Direct
0.000 0.500 0.000 Bi
0.000 0.000 0.500 Bi
0.500 0.000 0.000 Bi
0.500 0.500 0.500 Cu
0.000 0.000 0.000 La



PBE Sr2SnOsCl, optimized geometry; M_tot = 2.56 μB/cell; N(E_F) = 10.5 states/eV/cell; formation energy without anion corrections = 849 meV per atom; SG = P4/mmm (123); volume = 211.6 Å³ per cell
1.0
-4.880 -2.773 2.941
-0.244 -3.622 -3.819
4.031 -3.673 3.226
Sr Os Sn Cl
2 1 1 1
Direct
0.000 0.000 0.500 Sr
0.500 0.000 0.000 Sr
0.500 0.500 0.500 Os
0.000 0.000 0.000 Sn
0.000 0.500 0.000 Cl



Q: Among the records above, which one has the highest volume?
A: LaCuBi3



Repeat the third record exactly.
PBE LaCuBi3, optimized geometry; M_tot = 0.00 μB/cell; N(E_F) = 6.0 states/eV/cell; energy above the lowest structure with this stoichiometry = 1.031 eV/atom; SG = Pm-3m (221); volume = 231.6 Å³ per cell; formation energy = 4.4 eV per formula unit
1.0
6.141 0.000 0.000
0.000 6.141 0.000
0.000 0.000 6.141
Bi Cu La
3 1 1
Direct
0.000 0.500 0.000 Bi
0.000 0.000 0.500 Bi
0.500 0.000 0.000 Bi
0.500 0.500 0.500 Cu
0.000 0.000 0.000 La